Record 1
Density functional theory data (PBE) for a relaxed CrNi3H3 crystal.

Geometry as extended XYZ:
```
14
Lattice="5.301 1.185 4.066 2.655 4.739 4.066 1.592 1.185 6.488" Properties=species:S:1:pos:R:3 pbc="T T T"
Cr 3.169 2.360 4.853
Cr 6.379 4.749 9.766
Ni 5.500 3.155 5.699
Ni 3.369 4.365 6.502
Ni 3.884 1.976 7.327
Ni 5.664 5.132 7.292
Ni 6.179 2.744 8.117
Ni 4.048 3.954 8.920
H 5.461 3.125 9.668
H 4.902 5.482 8.887
H 7.020 4.336 8.061
H 2.528 2.773 6.558
H 4.646 1.627 5.733
H 4.087 3.984 4.951
```

Properties
electronic total energy: -73.58 eV per cell
space-group type: R-3, No. 148

***

Record 2
Density functional theory data (PBE) for a relaxed NpCrNi2H8 crystal.

Geometry as extended XYZ:
```
12
Lattice="-0.935 -0.870 -4.255 -3.124 -2.988 -1.022 -5.029 2.549 -1.735" Properties=species:S:1:pos:R:3 pbc="T T T"
Np -4.544 -0.655 -3.505
Cr 0.000 0.000 0.000
Ni -1.891 -0.724 -1.755
Ni -7.196 -0.585 -5.256
H -3.007 0.440 -1.748
H -2.364 -1.018 -3.298
H -6.081 -1.749 -5.263
H -3.665 -2.256 -4.766
H -5.423 0.947 -2.245
H -3.928 -2.522 -2.476
H -5.160 1.213 -4.534
H -6.724 -0.291 -3.713
```

Properties
electronic total energy: -60.85 eV per cell
space-group type: R-3, No. 148

***

Record 3
Density functional theory data (PBE) for a relaxed CrNi2HOs crystal.

Geometry as extended XYZ:
```
5
Lattice="-0.297 1.381 -3.344 3.030 -1.738 -0.987 -2.099 -3.050 -1.073" Properties=species:S:1:pos:R:3 pbc="T T T"
Ni 1.515 -0.869 -0.493
Ni -0.149 0.690 -1.672
Os -1.049 -1.525 -0.536
H 0.000 0.000 0.000
Cr 0.317 -1.703 -2.702
```

Properties
space-group type: P4/mmm, No. 123
ΔE to the lowest computed polymorph: 13 meV per atom

***

Record 4
Density functional theory data (PBE) for a relaxed Cr2NiHOs crystal.

Geometry as extended XYZ:
```
5
Lattice="-1.520 1.565 -3.011 -3.392 -0.761 1.317 -0.061 3.211 1.700" Properties=species:S:1:pos:R:3 pbc="T T T"
Ni -0.030 1.606 0.850
Os -2.486 2.008 0.003
H 0.000 0.000 0.000
Cr -1.696 -0.381 0.658
Cr -0.760 0.782 -1.505
```

Properties
space-group type: P4/mmm, No. 123
ΔE to the lowest computed polymorph: 0 meV per atom

***

Record 5
Density functional theory data (PBE) for a relaxed CrNi2HOs crystal.

Geometry as extended XYZ:
```
5
Lattice="-2.590 2.093 -1.309 -2.469 -2.194 1.378 0.003 2.058 3.283" Properties=species:S:1:pos:R:3 pbc="T T T"
Ni -1.234 -1.097 0.689
Ni -1.295 1.046 -0.655
Os -2.528 0.979 1.676
H 0.000 0.000 0.000
Cr 0.002 1.029 1.641
```

Properties
space-group type: P4/mmm, No. 123
ΔE to the lowest computed polymorph: 0 meV per atom

***

Record 6
Density functional theory data (PBE) for a relaxed Cr2NiHOs crystal.

Geometry as extended XYZ:
```
5
Lattice="3.686 0.000 0.000 0.000 3.686 0.000 0.000 0.000 3.756" Properties=species:S:1:pos:R:3 pbc="T T T"
Ni 1.843 1.843 1.878
Os 0.000 0.000 1.878
H 0.000 0.000 0.000
Cr 0.000 1.843 0.000
Cr 1.843 0.000 0.000
```

Properties
space-group type: P4/mmm, No. 123
ΔE to the lowest computed polymorph: 70 meV per atom

***

Record 7
Density functional theory data (PBE) for a relaxed CrNi2HPd crystal.

Geometry as extended XYZ:
```
5
Lattice="-0.605 -0.131 3.643 0.708 -3.627 -0.012 3.723 0.725 0.645" Properties=species:S:1:pos:R:3 pbc="T T T"
Ni 0.354 -1.813 -0.006
Ni -0.303 -0.065 1.822
H 0.000 0.000 0.000
Pd 1.913 -1.516 2.138
Cr 1.862 0.362 0.322
```

Properties
space-group type: P4/mmm, No. 123
ΔE to the lowest computed polymorph: 0 meV per atom

***

Record 8
Density functional theory data (PBE) for a relaxed CrNi2HPd crystal.

Geometry as extended XYZ:
```
5
Lattice="3.729 0.000 0.000 0.000 3.729 0.000 0.000 0.000 3.835" Properties=species:S:1:pos:R:3 pbc="T T T"
Ni 0.000 1.864 0.000
Ni 1.864 0.000 0.000
H 0.000 0.000 0.000
Pd 0.000 0.000 1.918
Cr 1.864 1.864 1.918
```

Properties
space-group type: P4/mmm, No. 123
ΔE to the lowest computed polymorph: 31 meV per atom

***

Record 9
Density functional theory data (PBE) for a relaxed PmCrNi2H8 crystal.

Geometry as extended XYZ:
```
12
Lattice="4.527 0.000 0.000 2.263 3.920 0.000 2.263 1.307 5.360" Properties=species:S:1:pos:R:3 pbc="T T T"
Pm 4.527 2.614 2.680
Cr 0.000 0.000 0.000
Ni 2.263 1.307 0.744
Ni 6.790 3.920 4.616
H 2.263 1.307 2.324
H 3.888 1.380 0.854
H 6.790 3.920 3.036
H 5.914 2.677 0.854
H 3.139 2.550 4.506
H 3.778 3.784 0.854
H 5.275 1.444 4.506
H 5.166 3.847 4.506
```

Properties
electronic total energy: -54.30 eV per cell
space-group type: R-3, No. 148

***

Record 10
Density functional theory data (PBE) for a relaxed Cr2ReNiH crystal.

Geometry as extended XYZ:
```
5
Lattice="3.785 0.000 0.000 0.000 3.785 0.000 0.000 0.000 3.544" Properties=species:S:1:pos:R:3 pbc="T T T"
Re 1.893 1.893 1.772
Cr 0.000 1.893 0.000
Cr 1.893 0.000 0.000
H 0.000 0.000 0.000
Ni 0.000 0.000 1.772
```

Properties
space-group type: P4/mmm, No. 123
ΔE to the lowest computed polymorph: 0 meV per atom

***

Record 11
Density functional theory data (PBE) for a relaxed CrRe2NiH crystal.

Geometry as extended XYZ:
```
5
Lattice="-3.144 1.262 -1.933 -2.307 -1.846 2.547 -0.084 2.955 2.066" Properties=species:S:1:pos:R:3 pbc="T T T"
Re -1.153 -0.923 1.273
Re -1.572 0.631 -0.966
Cr -2.767 1.185 1.340
H 0.000 0.000 0.000
Ni -0.042 1.477 1.033
```

Properties
electronic total energy: -43.00 eV per cell
space-group type: P4/mmm, No. 123

***

Record 12
Density functional theory data (PBE) for a relaxed Cr2ReNiH crystal.

Geometry as extended XYZ:
```
5
Lattice="3.681 0.000 0.000 0.000 3.681 0.000 0.000 0.000 3.801" Properties=species:S:1:pos:R:3 pbc="T T T"
Re 0.000 0.000 1.900
Cr 0.000 1.840 0.000
Cr 1.840 0.000 0.000
H 0.000 0.000 0.000
Ni 1.840 1.840 1.900
```

Properties
space-group type: P4/mmm, No. 123
ΔE to the lowest computed polymorph: 76 meV per atom

***

Record 13
Density functional theory data (PBE) for a relaxed CrReNi2H crystal.

Geometry as extended XYZ:
```
5
Lattice="-3.084 1.500 -0.983 -1.067 0.038 3.404 1.587 3.563 0.458" Properties=species:S:1:pos:R:3 pbc="T T T"
Re -1.282 2.550 1.439
Cr 0.794 1.782 0.229
H 0.000 0.000 0.000
Ni -0.534 0.019 1.702
Ni -1.542 0.750 -0.492
```

Properties
space-group type: P4/mmm, No. 123
ΔE to the lowest computed polymorph: 0 meV per atom

***

Record 14
Density functional theory data (PBE) for a relaxed CrReNi2H crystal.

Geometry as extended XYZ:
```
5
Lattice="-0.937 -1.910 2.890 3.078 -1.834 -0.213 1.751 2.667 2.330" Properties=species:S:1:pos:R:3 pbc="T T T"
Re 0.875 1.334 1.165
Cr 1.945 -0.538 2.503
H 0.000 0.000 0.000
Ni 1.539 -0.917 -0.107
Ni -0.469 -0.955 1.445
```

Properties
space-group type: P4/mmm, No. 123
ΔE to the lowest computed polymorph: 20 meV per atom

***

Record 15
Density functional theory data (PBE) for a relaxed CrNi2HRh crystal.

Geometry as extended XYZ:
```
5
Lattice="-2.063 -2.750 -1.332 2.543 -2.436 1.090 -1.739 -0.318 3.349" Properties=species:S:1:pos:R:3 pbc="T T T"
Ni 1.272 -1.218 0.545
Ni -1.031 -1.375 -0.666
Rh -0.870 -0.159 1.675
H 0.000 0.000 0.000
Cr -0.629 -2.752 1.553
```

Properties
space-group type: P4/mmm, No. 123
ΔE to the lowest computed polymorph: 0 meV per atom

***

Record 16
Density functional theory data (PBE) for a relaxed Cr2NiHRh crystal.

Geometry as extended XYZ:
```
5
Lattice="3.672 0.000 0.000 0.000 3.672 0.000 0.000 0.000 3.741" Properties=species:S:1:pos:R:3 pbc="T T T"
Ni 0.000 0.000 1.870
Rh 1.836 1.836 1.870
H 0.000 0.000 0.000
Cr 0.000 1.836 0.000
Cr 1.836 0.000 0.000
```

Properties
space-group type: P4/mmm, No. 123
ΔE to the lowest computed polymorph: 0 meV per atom

***

Record 17
Density functional theory data (PBE) for a relaxed Cr2NiHRh crystal.

Geometry as extended XYZ:
```
5
Lattice="3.641 0.000 0.000 0.000 3.641 0.000 0.000 0.000 3.829" Properties=species:S:1:pos:R:3 pbc="T T T"
Ni 1.820 1.820 1.915
Rh 0.000 0.000 1.915
H 0.000 0.000 0.000
Cr 0.000 1.820 0.000
Cr 1.820 0.000 0.000
```

Properties
space-group type: P4/mmm, No. 123
ΔE to the lowest computed polymorph: 33 meV per atom

***

Record 18
Density functional theory data (PBE) for a relaxed CrNi2HRh crystal.

Geometry as extended XYZ:
```
5
Lattice="3.638 0.000 0.000 0.000 3.638 0.000 0.000 0.000 3.832" Properties=species:S:1:pos:R:3 pbc="T T T"
Ni 0.000 1.819 0.000
Ni 1.819 0.000 0.000
Rh 1.819 1.819 1.916
H 0.000 0.000 0.000
Cr 0.000 0.000 1.916
```

Properties
space-group type: P4/mmm, No. 123
ΔE to the lowest computed polymorph: 7 meV per atom

***

Record 19
Density functional theory data (PBE) for a relaxed CrNi2HRh crystal.

Geometry as extended XYZ:
```
5
Lattice="-4.445 -0.059 0.013 0.036 -2.330 1.858 -0.026 2.771 3.476" Properties=species:S:1:pos:R:3 pbc="T T T"
Ni -0.013 1.386 1.738
Ni -2.223 -0.029 0.007
Rh -2.218 0.192 2.673
H 0.018 -1.165 0.929
Cr 0.000 0.000 0.000
```

Properties
space-group type: P4/mmm, No. 123
ΔE to the lowest computed polymorph: 773 meV per atom

***

Record 20
Density functional theory data (PBE) for a relaxed CrNiH2S crystal.

Geometry as extended XYZ:
```
5
Lattice="-1.736 -1.932 -2.149 3.926 -2.156 -1.233 -0.484 -2.277 2.438" Properties=species:S:1:pos:R:3 pbc="T T T"
Ni 0.000 0.000 0.000
S 1.963 -1.078 -0.617
H -0.242 -1.139 1.219
H -0.868 -0.966 -1.075
Cr 0.853 -3.182 -0.472
```

Properties
electronic total energy: -26.02 eV per cell
space-group type: P4/mmm, No. 123

***

Record 21
Density functional theory data (PBE) for a relaxed Cr2NiSbH crystal.

Geometry as extended XYZ:
```
5
Lattice="3.874 0.000 0.000 0.000 3.874 0.000 0.000 0.000 3.867" Properties=species:S:1:pos:R:3 pbc="T T T"
Sb 1.937 1.937 1.933
Cr 0.000 1.937 0.000
Cr 1.937 0.000 0.000
H 0.000 0.000 0.000
Ni 0.000 0.000 1.933
```

Properties
electronic total energy: -32.15 eV per cell
space-group type: P4/mmm, No. 123

***

Record 22
Density functional theory data (PBE) for a relaxed CrNi2SbH crystal.

Geometry as extended XYZ:
```
5
Lattice="-0.124 -1.070 -3.652 1.383 -3.416 0.954 -3.646 -1.332 0.515" Properties=species:S:1:pos:R:3 pbc="T T T"
Sb -1.193 -2.910 -1.091
Cr -1.823 -0.666 0.257
H 0.000 0.000 0.000
Ni 0.692 -1.708 0.477
Ni -0.062 -0.535 -1.826
```

Properties
electronic total energy: -28.87 eV per cell
space-group type: P4/mmm, No. 123

***

Record 23
Density functional theory data (PBE) for a relaxed Cr2SiNiH crystal.

Geometry as extended XYZ:
```
5
Lattice="-1.056 -3.137 -1.376 3.303 -1.315 0.463 -0.961 -1.194 3.458" Properties=species:S:1:pos:R:3 pbc="T T T"
Ni -0.480 -0.597 1.729
Si 0.643 -2.823 1.273
H 0.000 0.000 0.000
Cr 1.651 -0.657 0.232
Cr -0.528 -1.569 -0.688
```

Properties
electronic total energy: -34.41 eV per cell
space-group type: P4/mmm, No. 123

***

Record 24
Density functional theory data (PBE) for a relaxed SrCrNi2H8 crystal.

Geometry as extended XYZ:
```
12
Lattice="-0.809 -4.553 -0.085 2.034 -2.651 -3.198 4.773 -3.242 2.378" Properties=species:S:1:pos:R:3 pbc="T T T"
Sr 2.999 -5.223 -0.452
Cr 0.000 0.000 0.000
Ni 0.829 -2.483 -0.760
Ni 5.169 -7.964 -0.145
H 2.064 -2.720 0.223
H 0.789 -4.137 -0.769
H 3.934 -7.726 -1.128
H 1.166 -6.270 -1.760
H 4.832 -4.176 0.855
H 2.243 -4.339 -2.646
H 3.755 -6.108 1.741
H 5.209 -6.310 -0.135
```

Properties
electronic total energy: -50.68 eV per cell
space-group type: R-3, No. 148

***

Record 25
Density functional theory data (PBE) for a relaxed TaCr2NiH crystal.

Geometry as extended XYZ:
```
5
Lattice="3.732 0.000 0.000 0.000 3.732 0.000 0.000 0.000 3.889" Properties=species:S:1:pos:R:3 pbc="T T T"
Ni 0.000 0.000 1.945
Cr 0.000 1.866 0.000
Cr 1.866 0.000 0.000
H 0.000 0.000 0.000
Ta 1.866 1.866 1.945
```

Properties
electronic total energy: -39.99 eV per cell
space-group type: P4/mmm, No. 123

***

Record 26
Density functional theory data (PBE) for a relaxed CrTc2NiH crystal.

Geometry as extended XYZ:
```
5
Lattice="3.893 0.000 0.000 0.000 3.893 0.000 0.000 0.000 3.559" Properties=species:S:1:pos:R:3 pbc="T T T"
Ni 0.000 0.000 1.779
Tc 0.000 1.946 0.000
Tc 1.946 0.000 0.000
H 0.000 0.000 0.000
Cr 1.946 1.946 1.779
```

Properties
space-group type: P4/mmm, No. 123
ΔE to the lowest computed polymorph: 0 meV per atom

***

Record 27
Density functional theory data (PBE) for a relaxed CrTcNi2H crystal.

Geometry as extended XYZ:
```
5
Lattice="3.581 0.000 0.000 0.000 3.581 0.000 0.000 0.000 3.948" Properties=species:S:1:pos:R:3 pbc="T T T"
Ni 0.000 1.790 0.000
Ni 1.790 0.000 0.000
Tc 0.000 0.000 1.974
H 0.000 0.000 0.000
Cr 1.790 1.790 1.974
```

Properties
space-group type: P4/mmm, No. 123
ΔE to the lowest computed polymorph: 0 meV per atom

***

Number 1: D(E_F) 0.88 states/eV per atom, M_tot 0.00 μB per formula unit. Number 2: D(E_F) 1.10 states/eV per atom, M_tot 6.47 μB per formula unit. Number 3: D(E_F) 0.84 states/eV per atom, M_tot 1.32 μB per formula unit. Number 4: D(E_F) 0.79 states/eV per atom, M_tot 0.00 μB per formula unit. Number 5: D(E_F) 1.03 states/eV per atom, M_tot 0.54 μB per formula unit. Number 6: D(E_F) 0.85 states/eV per atom, M_tot 0.64 μB per formula unit. Number 7: D(E_F) 1.02 states/eV per atom, M_tot 3.17 μB per formula unit. Number 8: D(E_F) 0.78 states/eV per atom, M_tot 3.23 μB per formula unit. Number 9: D(E_F) 0.36 states/eV per atom, M_tot 3.26 μB per formula unit. Number 10: D(E_F) 0.77 states/eV per atom, M_tot 0.12 μB per formula unit. Number 11: D(E_F) 0.56 states/eV per atom, M_tot 0.09 μB per formula unit. Number 12: D(E_F) 0.92 states/eV per atom, M_tot 0.01 μB per formula unit. Number 13: D(E_F) 1.12 states/eV per atom, M_tot 0.27 μB per formula unit. Number 14: D(E_F) 0.86 states/eV per atom, M_tot 0.93 μB per formula unit. Number 15: D(E_F) 0.86 states/eV per atom, M_tot 2.29 μB per formula unit. Number 16: D(E_F) 1.01 states/eV per atom, M_tot 1.15 μB per formula unit. Number 17: D(E_F) 1.15 states/eV per atom, M_tot 0.09 μB per formula unit. Number 18: D(E_F) 0.90 states/eV per atom, M_tot 2.18 μB per formula unit. Number 19: D(E_F) 1.40 states/eV per atom, M_tot 2.39 μB per formula unit. Number 20: D(E_F) 0.45 states/eV per atom, M_tot 3.61 μB per formula unit. Number 21: D(E_F) 0.40 states/eV per atom, M_tot 3.72 μB per formula unit. Number 22: D(E_F) 0.55 states/eV per atom, M_tot 2.39 μB per formula unit. Number 23: D(E_F) 0.82 states/eV per atom, M_tot 1.92 μB per formula unit. Number 24: D(E_F) 0.41 states/eV per atom, M_tot 4.21 μB per formula unit. Number 25: D(E_F) 1.17 states/eV per atom, M_tot 0.00 μB per formula unit. Number 26: D(E_F) 0.68 states/eV per atom, M_tot 0.09 μB per formula unit. Number 27: D(E_F) 0.98 states/eV per atom, M_tot 0.83 μB per formula unit.